Entry 1:
AlCu2P | the Alexandria database | PBE-GGA | optimized geometry; polymorph energy (0 for the lowest one) = 5.48 kJ/mol of atoms; energy of formation = 0.11 eV per formula unit
1.0
4.9758 0.1292 -0.1441
4.1599 2.7332 -0.1441
0.1074 0.0336 4.2071
Al Cu P
1 2 1
direct
0.7359 0.7359 0.7388
0.0016 0.0016 0.0170
0.2737 0.2737 0.2291
0.4888 0.4888 0.5151

Entry 2:
KInFe2Si | the Alexandria database | PBE-GGA | optimized geometry; formation energy from raw total energies = 2.586 eV/atom
1.0
-3.5180 -1.6869 1.9176
3.2461 -2.2889 3.9418
-0.4039 3.5904 2.4175
Si Fe K In
1 2 1 1
direct
0.5000 0.5000 0.5000
0.0000 0.0000 0.5000
0.5000 0.0000 0.0000
0.0000 0.0000 0.0000
0.0000 0.5000 0.0000

Entry 3:
Pm4YTm5 | the Alexandria database | PBE-GGA | optimized geometry; polymorph energy (0 for the lowest one) = 0.00 kJ/mol of atoms; energy of formation = 1.98 eV per formula unit
1.0
3.4367 -0.0005 -0.6948
-0.1206 11.1741 -0.5964
-0.0177 0.4319 8.6856
Y Pm Tm
1 4 5
direct
0.5000 0.0000 0.0000
0.0326 0.7483 0.0648
0.6530 0.2501 0.3135
0.9674 0.2517 0.9352
0.3470 0.7499 0.6865
0.8277 0.4515 0.6534
0.8268 0.0510 0.6516
0.1723 0.5485 0.3466
0.5000 0.5000 0.0000
0.1732 0.9490 0.3484

Entry 4:
KBeCd | the Alexandria database | PBE-GGA | optimized geometry; polymorph energy (0 for the lowest one) = 3.72 kJ/mol of atoms; energy of formation = 0.89 eV per formula unit
1.0
-3.3160 -1.5780 4.6426
2.0844 -3.6280 0.2556
11.0507 6.5951 3.4958
K Cd Be
4 4 4
direct
0.4999 0.4430 0.5000
0.0001 0.4430 0.0000
0.5001 0.9430 0.0000
0.0000 0.9430 0.5000
0.3362 0.9421 0.2517
0.6638 0.9421 0.7482
0.6638 0.4421 0.2482
0.3362 0.4421 0.7517
0.0756 0.4421 0.2527
0.9244 0.4421 0.7472
0.9244 0.9421 0.2472
0.0756 0.9421 0.7527

Entry 5:
NaSrLaPb2 | the Alexandria database | PBE-GGA | optimized geometry; polymorph energy (0 for the lowest one) = 0.00 kJ/mol of atoms; energy of formation = 0.60 eV per formula unit
1.0
-1.2713 -3.2194 4.4485
3.8868 -3.4835 -1.4102
3.7060 2.8664 3.1336
Na Sr Pb La
1 1 2 1
direct
0.0000 0.0000 0.0000
0.0000 0.5000 0.0000
0.0000 0.0000 0.5000
0.5000 0.0000 0.0000
0.5000 0.5000 0.5000

Entry 6:
CsSr2ZnPt | the Alexandria database | PBE-GGA | optimized geometry; energy of formation = -1.18 eV per formula unit
1.0
6.0426 0.0000 0.0000
0.0000 6.0426 0.0000
0.0000 0.0000 5.1709
Sr Cs Zn Pt
2 1 1 1
direct
0.0000 0.5000 0.0000
0.5000 0.0000 0.0000
0.5000 0.5000 0.5000
0.0000 0.0000 0.5000
0.0000 0.0000 0.0000

Entry 7:
LiAl3Zn4 | the Alexandria database | PBE-GGA | optimized geometry; energy of formation = 0.87 eV per formula unit
1.0
-1.7455 1.8849 -1.2594
-3.5280 -2.5645 1.0518
1.9000 5.6835 9.1222
Zn Al Li
4 3 1
direct
0.2939 0.6923 0.5879
0.7061 0.3077 0.4121
0.0969 0.1942 0.1938
0.9031 0.8058 0.8062
0.1685 0.7757 0.3370
0.0000 0.5000 0.0000
0.8315 0.2243 0.6630
0.5000 0.0000 0.0000

Entry 8:
NaTa3Ag | the Alexandria database | PBE-GGA | optimized geometry; polymorph energy (0 for the lowest one) = 26.15 kJ/mol of atoms; energy of formation = 11.84 eV per formula unit
1.0
-2.2458 3.6063 -1.9464
-4.0015 -2.4087 0.1540
-0.8844 1.7407 4.2456
Ta Na Ag
3 1 1
direct
0.0000 0.0000 0.5000
0.5000 0.0000 0.0000
0.0000 0.5000 0.0000
0.0000 0.0000 0.0000
0.5000 0.5000 0.5000

Entry 9:
Nd2Sm6Dy3Tl | the Alexandria database | PBE-GGA | optimized geometry; energy of formation = -0.34 eV per formula unit
1.0
6.1910 -0.0053 0.0006
-3.0986 5.3598 0.0006
-1.0390 -1.7990 11.6916
Sm Nd Dy Tl
6 2 3 1
direct
0.7571 0.7571 0.2522
0.2429 0.2429 0.7478
0.9165 0.5897 0.7489
0.4103 0.0835 0.2511
0.0835 0.4103 0.2511
0.5897 0.9165 0.7489
0.6662 0.3338 0.0000
0.3338 0.6662 0.0000
0.1672 0.8328 0.5000
0.5000 0.5000 0.5000
0.8328 0.1672 0.5000
0.0000 0.0000 0.0000

Entry 10:
CaCr2Re | the Alexandria database | PBE-GGA | optimized geometry; polymorph energy (0 for the lowest one) = 33.52 kJ/mol of atoms; energy of formation = 3.33 eV per formula unit
1.0
8.9419 -0.0352 -0.0207
8.4561 2.9074 -0.0207
8.4561 1.3960 2.5504
Re Cr Ca
1 2 1
direct
0.2500 0.2500 0.2500
0.5155 0.5155 0.5155
0.9845 0.9845 0.9845
0.7500 0.7500 0.7500

Entry 11:
Pm7Te2Os2 | the Alexandria database | PBE-GGA | optimized geometry; formation energy from raw total energies = -0.594 eV/atom
1.0
3.9832 0.0000 0.8543
1.0393 8.2927 4.8675
0.0090 0.0665 9.6714
Pm Os Te
7 2 2
direct
0.6309 0.4750 0.2632
0.1831 0.7175 0.9163
0.8169 0.0837 0.2825
0.8483 0.4145 0.8889
0.5000 0.0211 0.9789
0.3691 0.7368 0.5250
0.1517 0.1111 0.5855
0.7414 0.8495 0.6677
0.2586 0.3323 0.1505
0.5000 0.3530 0.6470
0.0000 0.7594 0.2406

Entry 12:
LaCo | the Alexandria database | PBE-GGA | optimized geometry; energy of formation = 0.84 eV per formula unit
1.0
4.6030 0.0000 0.0000
-2.3015 3.9863 0.0000
0.0000 0.0000 5.7066
Co La
2 2
direct
0.6667 0.3333 0.7500
0.3333 0.6667 0.2500
0.6667 0.3333 0.2500
0.3333 0.6667 0.7500

Entry 13:
HfCr2I | the Alexandria database | PBE-GGA | optimized geometry; polymorph energy (0 for the lowest one) = 0.00 kJ/mol of atoms; formation energy from raw total energies = 0.808 eV/atom
1.0
0.0000 3.1816 3.1816
3.1816 0.0000 3.1816
3.1816 3.1816 0.0000
Cr Hf I
2 1 1
direct
0.2500 0.2500 0.2500
0.7500 0.7500 0.7500
0.5000 0.5000 0.5000
0.0000 0.0000 0.0000

Entry 14:
Tl5CdO4 | the Alexandria database | PBE-GGA | optimized geometry; formation energy from raw total energies = -0.594 eV/atom
1.0
-0.2983 -2.5973 -2.3840
5.8903 -3.3512 2.9141
-5.5736 -2.3514 5.8847
Tl Cd O
5 1 4
direct
0.8446 0.7272 0.6891
0.8475 0.1969 0.6950
0.1554 0.2728 0.3109
0.1525 0.8031 0.3050
0.5000 0.5000 0.0000
0.5000 0.0000 0.0000
0.0037 0.2166 0.0074
0.3547 0.9694 0.7095
0.6453 0.0306 0.2905
0.9963 0.7834 0.9926

Entry 15:
CaTbMg2Au4 | the Alexandria database | PBE-GGA | optimized geometry; energy of formation = -5.77 eV per formula unit
1.0
-0.4838 4.1520 2.6772
-1.5501 -0.2497 4.7090
6.8583 0.6031 4.9058
Au Mg Tb Ca
4 2 1 1
direct
0.1285 0.1285 0.6146
0.8715 0.8715 0.3854
0.3752 0.3752 0.8744
0.6248 0.6248 0.1256
0.2508 0.2508 0.2477
0.7492 0.7492 0.7523
0.5000 0.5000 0.5000
0.0000 0.0000 0.0000

Entry 16:
Ce2VAs3Rh4 | the Alexandria database | PBE-GGA | optimized geometry; energy of formation = -8.62 eV per formula unit
1.0
-3.5497 0.4191 2.1004
-1.6811 -3.0645 -2.2295
3.3345 -6.9359 7.0193
Ce Rh As V
2 4 3 1
direct
0.5000 0.0000 0.2481
0.0000 0.5000 0.7519
0.5000 0.5000 0.0000
0.0000 0.5000 0.3721
0.5000 0.0000 0.6279
0.0000 0.0000 0.0000
0.0000 0.0000 0.5000
0.5000 0.0000 0.8623
0.0000 0.5000 0.1377
0.5000 0.5000 0.5000

Entry 17:
ZrGa3Ir | the Alexandria database | PBE-GGA | optimized geometry; polymorph energy (0 for the lowest one) = 0.00 kJ/mol of atoms; energy of formation = -1.98 eV per formula unit
1.0
-1.5747 -3.3350 -2.1913
-1.6192 -2.8123 5.4433
-5.9073 2.9444 -0.2360
Zr Ga Ir
2 6 2
direct
0.2500 0.7500 0.6821
0.7500 0.2500 0.3179
0.2500 0.9622 0.2888
0.7500 0.4622 0.7112
0.2500 0.5378 0.2888
0.7500 0.7500 0.0187
0.2500 0.2500 0.9813
0.7500 0.0378 0.7112
0.7500 0.7500 0.3999
0.2500 0.2500 0.6001

Entry 18:
ZrBePtO2 | the Alexandria database | PBE-GGA | optimized geometry; polymorph energy (0 for the lowest one) = 0.00 kJ/mol of atoms; formation energy from raw total energies = -0.906 eV/atom
1.0
-0.6062 3.5356 1.6868
-5.3841 -1.5180 1.2468
1.2159 -1.4528 3.4820
O Pt Zr Be
2 1 1 1
direct
0.5000 0.0000 0.0000
0.0000 0.0000 0.5000
0.0000 0.5000 0.0000
0.0000 0.0000 0.0000
0.5000 0.5000 0.5000

Entry 19:
TaCr2HIr | the Alexandria database | PBE-GGA | optimized geometry; polymorph energy (0 for the lowest one) = 4.48 kJ/mol of atoms
1.0
-2.4729 -1.4953 -2.5708
-0.2942 -3.2040 2.1466
-2.9990 1.5890 1.9606
Cr Ta Ir H
2 1 1 1
direct
0.5000 0.0000 0.0000
0.0000 0.5000 0.0000
0.5000 0.5000 0.5000
0.0000 0.0000 0.5000
0.0000 0.0000 0.0000

Entry 20:
SrMoPt | the Alexandria database | PBE-GGA | optimized geometry; polymorph energy (0 for the lowest one) = 63.49 kJ/mol of atoms; energy of formation = 1.58 eV per formula unit
1.0
4.9236 0.0000 0.0000
-2.4618 4.2640 0.0000
0.0000 0.0000 2.9313
Sr Pt Mo
1 1 1
direct
0.3333 0.6667 0.6669
0.6667 0.3333 0.1668
0.0000 0.0000 0.1663